# 1
{"formula": "FeSiTc2", "functional": "SCAN", "state": "PBEsol geometry", "lattice_angstrom": [[2.7482, 0.0000, 0.2329], [0.0000, 3.7543, 0.0000], [-0.4092, 0.0000, 4.8583]], "species": ["Tc", "Fe", "Tc", "Si"], "fractional_positions": [[0.9999, 0.0000, 0.2502], [0.5000, 0.5000, 0.0000], [0.0001, 0.0000, 0.7498], [0.5000, 0.5000, 0.5000]], "raw_formation_energy_mev_per_atom": -33.8, "sg": "Pmmm, No. 47", "mass_density_g_cm3": 9.21}

---

# 2
{"formula": "ZnIn3Ge", "functional": "SCAN", "state": "PBEsol geometry", "lattice_angstrom": [[5.2642, 0.0000, 0.0000], [0.0000, 5.2642, 0.0000], [0.0000, 0.0000, 5.2642]], "species": ["Zn", "Ge", "In", "In", "In"], "fractional_positions": [[0.5000, 0.5000, 0.5000], [0.0000, 0.0000, 0.0000], [0.0000, 0.0000, 0.5000], [0.5000, 0.0000, 0.0000], [0.0000, 0.5000, 0.0000]], "sg": "Pm-3m, No. 221", "e_form_ev_per_atom": 0.549, "mass_density_g_cm3": 5.49}

---

# 3
{"formula": "BeCoNi6", "functional": "SCAN", "state": "PBEsol geometry", "lattice_angstrom": [[-0.6096, -5.8887, -0.3258], [2.7325, 1.9975, -4.8680], [8.5921, -1.1306, 4.3590]], "species": ["Ni", "Ni", "Ni", "Co", "Ni", "Ni", "Ni", "Ni", "Ni", "Ni", "Ni", "Co", "Ni", "Co", "Ni", "Ni", "Ni", "Ni", "Be", "Ni", "Co", "Ni", "Ni", "Ni", "Ni", "Be", "Be", "Be", "Ni", "Ni", "Ni", "Ni"], "fractional_positions": [[0.2494, 0.7506, 0.7477], [0.6268, 0.8777, 0.3767], [0.6268, 0.8777, 0.6233], [0.7490, 0.2510, 0.0000], [0.8766, 0.6283, 0.1270], [0.0000, 0.0000, 0.0000], [0.6283, 0.8766, 0.8730], [0.8766, 0.6283, 0.8730], [0.8777, 0.6268, 0.6233], [0.1223, 0.3732, 0.3767], [0.0000, 0.0000, 0.5000], [0.5000, 0.5000, 0.7468], [0.2494, 0.7506, 0.2523], [0.5000, 0.5000, 0.2532], [0.5000, 0.5000, 0.0000], [0.8777, 0.6268, 0.3767], [0.7506, 0.2494, 0.2523], [0.7506, 0.2494, 0.7477], [0.0000, 0.0000, 0.2542], [0.1234, 0.3717, 0.1270], [0.2510, 0.7490, 0.0000], [0.3717, 0.1234, 0.8730], [0.1223, 0.3732, 0.6233], [0.3732, 0.1223, 0.6233], [0.3717, 0.1234, 0.1270], [0.0000, 0.0000, 0.7458], [0.2517, 0.7483, 0.5000], [0.7483, 0.2517, 0.5000], [0.1234, 0.3717, 0.8730], [0.5000, 0.5000, 0.5000], [0.6283, 0.8766, 0.1270], [0.3732, 0.1223, 0.3767]], "sg": "Cmmm, No. 65", "e_form_ev_per_atom": -0.102, "mass_density_g_cm3": 8.69}

---

# 4
{"formula": "K2RbTcP", "functional": "SCAN", "state": "PBEsol geometry", "lattice_angstrom": [[4.5505, 0.0000, 0.0000], [0.0000, 6.2333, 0.0000], [0.0000, 0.0000, 6.2333]], "species": ["Rb", "P", "K", "K", "Tc"], "fractional_positions": [[0.5000, 0.5000, 0.5000], [0.5000, 0.0000, 0.0000], [0.0000, 0.0000, 0.5000], [0.0000, 0.5000, 0.0000], [0.0000, 0.0000, 0.0000]], "sg": "P4/mmm, No. 123", "e_form_ev_per_atom": 0.329, "mass_density_g_cm3": 2.75}

---

# 5
{"formula": "ZrMo3S", "functional": "SCAN", "state": "PBEsol geometry", "lattice_angstrom": [[-3.5207, 0.6124, 3.0598], [-1.8836, -4.0949, -1.3476], [2.4879, -2.2336, 3.3097]], "species": ["Mo", "Mo", "S", "Zr", "Mo"], "fractional_positions": [[0.0000, 0.0000, 0.5000], [0.0000, 0.5000, 0.0000], [0.5000, 0.5000, 0.5000], [0.0000, 0.0000, 0.0000], [0.5000, 0.0000, 0.0000]], "raw_formation_energy_mev_per_atom": 2440.5, "sg": "Pm-3m, No. 221", "mass_density_g_cm3": 6.56}

---

# 6
{"formula": "BaReOs2Ru", "functional": "SCAN", "state": "PBEsol geometry", "lattice_angstrom": [[-4.0602, 2.1356, 1.1120], [-2.4706, -3.7097, -1.8961], [0.0161, -2.2129, 4.3086]], "species": ["Os", "Ru", "Re", "Os", "Ba"], "fractional_positions": [[0.0000, 0.0000, 0.5000], [0.5000, 0.0000, 0.0000], [0.5000, 0.5000, 0.5000], [0.0000, 0.5000, 0.0000], [0.0000, 0.0000, 0.0000]], "sg": "P4/mmm, No. 123", "e_form_ev_per_atom": 4.158, "mass_density_g_cm3": 12.07}

---

# 7
{"formula": "SiPtRh2", "functional": "SCAN", "state": "PBEsol geometry", "lattice_angstrom": [[3.7486, 0.0000, 0.0000], [0.0000, 3.7903, 0.0000], [0.0000, 0.0000, 3.7903]], "species": ["Rh", "Si", "Pt", "Rh"], "fractional_positions": [[0.0000, 0.5000, 0.0000], [0.5000, 0.5000, 0.5000], [0.5000, 0.0000, 0.0000], [0.0000, 0.0000, 0.5000]], "raw_formation_energy_mev_per_atom": -489.8, "sg": "P4/mmm, No. 123", "mass_density_g_cm3": 13.23}

---

# 8
{"formula": "AlCu2Bi", "functional": "SCAN", "state": "PBEsol geometry", "lattice_angstrom": [[-2.2738, 3.8826, -1.0012], [-2.6836, 0.1995, -3.7424], [-4.5836, 0.1697, 0.4572]], "species": ["Cu", "Cu", "Al", "Bi"], "fractional_positions": [[0.2500, 0.2500, 0.2500], [0.7500, 0.7500, 0.7500], [0.0000, 0.0000, 0.0000], [0.5000, 0.5000, 0.5000]], "sg": "Fm-3m, No. 225", "e_form_ev_per_atom": 0.352, "mass_density_g_cm3": 8.71}